(1)
An optimized crystal structure of Be2AsOs2. Source: Alexandria via LeMat-Bulk, functional PBE-GGA.

energy relative to the elements = 0.19 eV per atom
energy above the lowest structure with this stoichiometry = 0.29 eV per formula unit

abc: 6.2427 6.2427 3.0721
angles: 90.00 90.00 90.00
Closest atoms and distances in Å follow each position.
Space group P4/mbm (No. 127)
One atom of each set of equivalent atoms:
Be 0.1206 0.3794 0.0000 [4 per cell]  1 Be 2.13
As 0.0000 0.0000 0.0000 [2 per cell]  4 Be 2.49
Os 0.1677 0.6677 0.5000 [4 per cell]  6 Be 2.38-2.42

=====

(2)
An optimized crystal structure of Ho3Pd2Rh2. Source: Alexandria via LeMat-Bulk, functional PBE-GGA.

energy relative to the elements = -0.79 eV per atom

abc: 4.6863 4.6880 7.6361
angles: 107.45 90.46 119.72
Closest atoms and distances in Å follow each position.
Space group P-1 (No. 2)
One atom of each set of equivalent atoms:
Ho 0.0000 0.0000 0.0000 [1 per cell]  6 Rh 2.87, 2 Pd 3.16
Ho 0.4283 0.8523 0.2815 [2 per cell]  4 Rh 2.91-2.96, 3 Pd 2.94-2.96, 1 Ho 3.13
Pd 0.1474 0.2945 0.4424 [2 per cell]  3 Pd 2.83, 4 Ho 2.94-3.16, 1 Rh 3.04
Rh 0.2887 0.5793 0.8677 [2 per cell]  7 Ho 2.87-2.96, 1 Pd 3.04

=====

(3)
An optimized crystal structure of SiTeW2. Source: Alexandria via LeMat-Bulk, functional PBE-GGA.

uncorrected formation energy = 707 meV/atom
energy above the lowest structure with this stoichiometry = 1.65 eV per formula unit

abc: 4.2283 4.2283 7.6688
angles: 90.00 90.00 90.00
Closest atoms and distances in Å follow each position.
Space group I-4m2 (No. 119)
One atom of each set of equivalent atoms:
Si 0.0000 0.0000 0.0000 [2 per cell]  8 W 2.85-2.99, 4 Te 2.85
Te 0.0000 0.5000 0.7500 [2 per cell]  8 W 2.85-2.99, 4 Si 2.85
W 0.0000 0.0000 0.5000 [2 per cell]  4 W 2.85, 4 Te 2.85, 4 Si 2.99
W 0.0000 0.5000 0.2500 [2 per cell]  4 W 2.85, 4 Si 2.85, 4 Te 2.99

=====

(4)
An optimized crystal structure of CsSmO. Source: Alexandria via LeMat-Bulk, functional PBE-GGA.

uncorrected formation energy = -1504 meV/atom

abc: 3.8492 3.8518 14.9156
angles: 90.24 96.33 119.79
Closest atoms and distances in Å follow each position.
Space group P1 (No. 1)
One atom of each set of equivalent atoms:
Cs 0.0000 0.0000 0.0000 [1 per cell]  3 O 3.45-3.48, 6 Cs 3.85-3.86
Cs 0.2546 0.1586 0.3139 [1 per cell]  3 O 3.54-3.57, 6 Cs 3.85-3.86
Sm 0.2034 0.5936 0.7709 [1 per cell]  3 O 2.33-2.35
Sm 0.7244 0.8897 0.5442 [1 per cell]  3 O 2.31-2.32
O 0.0329 0.5437 0.5015 [1 per cell]  3 Sm 2.31-2.32
O 0.5650 0.2757 0.8201 [1 per cell]  3 Sm 2.33-2.35

=====

(5)
An optimized crystal structure of CuSeCl2. Source: Alexandria via LeMat-Bulk, functional PBE-GGA.

uncorrected formation energy = -258 meV/atom
energy above the lowest structure with this stoichiometry = 0.16 eV per formula unit

abc: 3.3650 5.0544 14.2179
angles: 90.00 90.00 90.00
Closest atoms and distances in Å follow each position.
Space group Imm2 (No. 44)
One atom of each set of equivalent atoms:
Cu 0.0000 0.0000 0.0000 [2 per cell]  2 Cl 2.26, 2 Se 2.40
Se 0.0000 0.5000 0.3798 [2 per cell]  2 Cu 2.40, 2 Cl 2.53
Cl 0.0000 0.0000 0.3730 [2 per cell]  2 Se 2.53
Cl 0.0000 0.5000 0.6065 [2 per cell]  2 Cu 2.26

=====

(6)
An optimized crystal structure of NbTc2B. Source: Alexandria via LeMat-Bulk, functional PBE-GGA.

energy relative to the elements = 0.02 eV per atom

abc: 7.0114 7.0114 4.6495
angles: 90.00 90.00 90.00
Closest atoms and distances in Å follow each position.
Space group I-42d (No. 122)
One atom of each set of equivalent atoms:
Nb 0.0000 0.0000 0.0000 [4 per cell]  2 B 2.32
Tc 0.1503 0.2500 0.6250 [8 per cell]  2 B 2.13
B 0.0000 0.0000 0.5000 [4 per cell]  4 Tc 2.13, 2 Nb 2.32

=====

(7)
An optimized crystal structure of VReBi3. Source: Alexandria via LeMat-Bulk, functional PBE-GGA.

energy relative to the elements = 1.22 eV per atom

abc: 5.3448 5.3448 5.3448
angles: 90.00 90.00 90.00
Closest atoms and distances in Å follow each position.
Space group Pm-3m (No. 221)
One atom of each set of equivalent atoms:
V 0.0000 0.0000 0.0000 [1 per cell]  12 Bi 3.78
Re 0.5000 0.5000 0.5000 [1 per cell]  6 Bi 2.67
Bi 0.0000 0.5000 0.5000 [3 per cell]  2 Re 2.67

=====

(8)
An optimized crystal structure of LiAlPb3. Source: Alexandria via LeMat-Bulk, functional PBE-GGA.

energy relative to the elements = 0.30 eV per atom
energy above the lowest structure with this stoichiometry = 0.00 eV per formula unit

abc: 5.1876 5.1876 5.1876
angles: 90.00 90.00 90.00
Closest atoms and distances in Å follow each position.
Space group Pm-3m (No. 221)
One atom of each set of equivalent atoms:
Li 0.0000 0.0000 0.0000 [1 per cell]  6 Pb 2.59
Al 0.5000 0.5000 0.5000 [1 per cell]  12 Pb 3.67
Pb 0.0000 0.0000 0.5000 [3 per cell]  2 Li 2.59

=====

(9)
An optimized crystal structure of Tb2Pr7Sm. Source: Alexandria via LeMat-Bulk, functional PBE-GGA.

energy relative to the elements = 0.62 eV per atom
energy above the lowest structure with this stoichiometry = 2.62 eV per formula unit

abc: 8.9722 16.5149 5.7271
angles: 90.00 90.00 90.00
Closest atoms and distances in Å follow each position.
Space group Cmmm (No. 65)
One atom of each set of equivalent atoms:
Tb 0.0000 0.2043 0.0000 [4 per cell]  7 Pr 3.09-3.40
Pr 0.0000 0.0000 0.0000 [2 per cell]  2 Tb 3.37, 4 Pr 3.44
Pr 0.0000 0.2748 0.5000 [4 per cell]  2 Tb 3.09
Pr 0.1800 0.3855 0.0000 [8 per cell]  2 Pr 3.23-3.44, 2 Tb 3.23-3.40
Sm 0.0000 0.5000 0.5000 [2 per cell]  10 Pr 3.72-3.79

=====

(10)
An optimized crystal structure of Ce2HoRh6. Source: Alexandria via LeMat-Bulk, functional PBE-GGA.

energy relative to the elements = -0.41 eV per atom

abc: 12.3634 8.0783 3.8707
angles: 90.00 108.19 90.00
Closest atoms and distances in Å follow each position.
Space group C2/m (No. 12)
One atom of each set of equivalent atoms:
Ce 0.1676 0.0000 0.1725 [4 per cell]  8 Rh 2.74-2.86
Ho 0.0000 0.5000 0.5000 [2 per cell]  8 Rh 2.86-2.88
Rh 0.0000 0.2366 0.0000 [4 per cell]  2 Ce 2.74, 4 Rh 2.75, 2 Ho 2.88
Rh 0.1664 0.2415 0.6672 [8 per cell]  3 Ce 2.74-2.86, 4 Rh 2.75-2.76, 1 Ho 2.86

=====

(11)
An optimized crystal structure of SrCa2Ag4. Source: Alexandria via LeMat-Bulk, functional PBE-GGA.

energy relative to the elements = -0.30 eV per atom

abc: 4.0278 4.7021 20.1100
angles: 90.00 90.00 90.00
Closest atoms and distances in Å follow each position.
Space group Immm (No. 71)
One atom of each set of equivalent atoms:
Sr 0.0000 0.0000 0.0000 [2 per cell]  12 Ag 3.40-3.63
Ca 0.0000 0.5000 0.1893 [4 per cell]  7 Ag 3.14-3.23
Ag 0.0000 0.0000 0.4304 [4 per cell]  3 Ag 2.80-2.85
Ag 0.0000 0.5000 0.3501 [4 per cell]  2 Ag 2.85

=====

(12)
An optimized crystal structure of Er5Ga2Sn2. Source: Alexandria via LeMat-Bulk, functional PBE-GGA.

energy relative to the elements = -0.63 eV per atom

abc: 15.3389 7.8974 7.7640
angles: 90.00 90.00 90.00
Closest atoms and distances in Å follow each position.
Space group Cmce (No. 64)
One atom of each set of equivalent atoms:
Er 0.0000 0.0000 0.0000 [4 per cell]  4 Ga 3.09-3.14, 2 Sn 3.24
Er 0.1324 0.1770 0.3258 [16 per cell]  3 Ga 3.03-3.13, 3 Sn 3.09-3.13
Ga 0.0000 0.1205 0.6213 [8 per cell]  1 Ga 2.68
Sn 0.2109 0.0000 0.0000 [8 per cell]  7 Er 3.09-3.24

=====

(13)
An optimized crystal structure of PaPdAu6. Source: Alexandria via LeMat-Bulk, functional PBE-GGA.

energy relative to the elements = 0.07 eV per atom

abc: 5.5022 5.5022 22.4401
angles: 90.00 90.00 120.00
Closest atoms and distances in Å follow each position.
Space group R-3m (No. 166, hexagonal axes)
One atom of each set of equivalent atoms:
Pa 0.0000 0.0000 0.0000 [3 per cell]  12 Au 3.16
Pd 0.0000 0.0000 0.5000 [3 per cell]  6 Au 2.72
Au 0.0028 0.5014 0.9311 [18 per cell]  1 Pd 2.72, 4 Au 2.73-2.77

=====

(14)
An optimized crystal structure of TbSnPd6. Source: Alexandria via LeMat-Bulk, functional PBE-GGA.

energy relative to the elements = -0.20 eV per atom
energy above the lowest structure with this stoichiometry = 3.92 eV per formula unit

abc: 7.5185 7.5185 9.9415
angles: 90.00 90.00 120.00
Closest atoms and distances in Å follow each position.
Space group R-3m (No. 166, hexagonal axes)
One atom of each set of equivalent atoms:
Tb 0.0000 0.0000 0.0000 [3 per cell]  6 Pd 2.76
Sn 0.0000 0.0000 0.5000 [3 per cell]  6 Pd 2.64
Pd 0.0856 0.5428 0.3765 [18 per cell]  1 Sn 2.64, 5 Pd 2.70-2.86, 1 Tb 2.76

=====

(15)
An optimized crystal structure of Cd2PbAu2. Source: Alexandria via LeMat-Bulk, functional PBE-GGA.

energy relative to the elements = -0.10 eV per atom
energy above the lowest structure with this stoichiometry = 0.09 eV per formula unit

abc: 4.1844 4.1844 13.4124
angles: 90.00 90.00 90.00
Closest atoms and distances in Å follow each position.
Space group I4/mmm (No. 139)
One atom of each set of equivalent atoms:
Cd 0.0000 0.5000 0.2500 [4 per cell]  4 Au 2.88, 4 Cd 2.96
Pb 0.0000 0.0000 0.0000 [2 per cell]  8 Au 3.26
Au 0.0000 0.0000 0.3973 [4 per cell]  1 Au 2.76, 4 Cd 2.88

=====

(16)
An optimized crystal structure of Y2CrPt9. Source: Alexandria via LeMat-Bulk, functional PBE-GGA.

energy relative to the elements = -0.73 eV per atom

abc: 4.0574 4.0574 12.2009
angles: 90.00 90.00 90.00
Closest atoms and distances in Å follow each position.
Space group P4/mmm (No. 123)
One atom of each set of equivalent atoms:
Y 0.0000 0.0000 0.1708 [2 per cell]  12 Pt 2.87-2.95
Cr 0.0000 0.0000 0.5000 [1 per cell]  12 Pt 2.76-2.87
Pt 0.0000 0.5000 0.0000 [2 per cell]  8 Pt 2.87-2.93, 4 Y 2.91
Pt 0.0000 0.5000 0.3468 [4 per cell]  8 Pt 2.76-2.94, 2 Cr 2.76, 2 Y 2.95
Pt 0.5000 0.5000 0.1730 [2 per cell]  4 Y 2.87, 8 Pt 2.93-2.94
Pt 0.5000 0.5000 0.5000 [1 per cell]  8 Pt 2.76, 4 Cr 2.87

=====

(17)
An optimized crystal structure of NaCu2Sn5. Source: Alexandria via LeMat-Bulk, functional PBE-GGA.

energy relative to the elements = 0.00 eV per atom

abc: 4.1720 6.9570 13.7464
angles: 90.00 90.00 90.00
Closest atoms and distances in Å follow each position.
Space group Immm (No. 71)
One atom of each set of equivalent atoms:
Na 0.0000 0.0000 0.0000 [2 per cell]  10 Sn 3.48-3.49
Cu 0.0000 0.5000 0.1976 [4 per cell]  7 Sn 2.72-2.73
Sn 0.0000 0.2390 0.3457 [8 per cell]  3 Cu 2.73
Sn 0.0000 0.5000 0.0000 [2 per cell]  2 Cu 2.72

=====

(18)
An optimized crystal structure of KBaSeN2. Source: Alexandria via LeMat-Bulk, functional PBE-GGA.

uncorrected formation energy = 949 meV/atom
energy above the lowest structure with this stoichiometry = 0.71 eV per formula unit

abc: 4.9888 4.9888 6.1084
angles: 90.00 90.00 90.00
Closest atoms and distances in Å follow each position.
Space group P4/mmm (No. 123)
One atom of each set of equivalent atoms:
K 0.0000 0.0000 0.0000 [1 per cell]  4 N 2.49
Ba 0.5000 0.5000 0.5000 [1 per cell]  4 Se 3.53, 8 N 3.94
Se 0.0000 0.0000 0.5000 [1 per cell]  2 K 3.05
N 0.0000 0.5000 0.0000 [2 per cell]  2 K 2.49

=====

(19)
An optimized crystal structure of Nd2Cd3Pd. Source: Alexandria via LeMat-Bulk, functional PBE-GGA.

energy relative to the elements = -0.45 eV per atom

abc: 3.5634 4.8960 8.5859
angles: 90.00 90.00 90.00
Closest atoms and distances in Å follow each position.
Space group Pmm2 (No. 25)
One atom of each set of equivalent atoms:
Nd 0.0000 0.0000 0.0000 [1 per cell]  2 Pd 3.15, 8 Cd 3.24-3.48
Nd 0.0000 0.5000 0.4466 [1 per cell]  8 Cd 3.21-3.51, 4 Pd 3.27, 2 Nd 3.56
Cd 0.5000 0.0000 0.6312 [1 per cell]  1 Pd 2.82, 2 Cd 2.84
Cd 0.5000 0.5000 0.1350 [1 per cell]  2 Pd 2.84, 1 Cd 2.88
Cd 0.5000 0.5000 0.7995 [1 per cell]  3 Cd 2.84-2.88
Pd 0.5000 0.0000 0.3023 [1 per cell]  3 Cd 2.82-2.84, 2 Nd 3.15

=====

(20)
An optimized crystal structure of NaZn2GaO4. Source: Alexandria via LeMat-Bulk, functional PBE-GGA.

uncorrected formation energy = -1623 meV/atom

abc: 4.8824 4.8824 8.6021
angles: 90.00 90.00 90.00
Closest atoms and distances in Å follow each position.
Space group I-42m (No. 121)
One atom of each set of equivalent atoms:
Na 0.0000 0.0000 0.0000 [2 per cell]  4 O 2.26
Zn 0.0000 0.5000 0.2500 [4 per cell]  4 O 2.02
Ga 0.0000 0.0000 0.5000 [2 per cell]  4 O 1.87
O 0.2166 0.2166 0.3686 [8 per cell]  1 Ga 1.87, 2 Zn 2.02